a:
Entry from Alexandria: a relaxed structure of P5Au (PBE-GGA).

Unit cell a=4.1758 b=3.2930 c=16.5880 alpha=90.00 beta=90.00 gamma=90.00
Space group Amm2 (No. 38)
Inequivalent atoms, fractional coordinates:
P  0.0000  0.0000  0.0000 [2 per cell]
P  0.0000  0.0000  0.2925 [2 per cell]
P  0.0000  0.0000  0.6973 [2 per cell]
P  0.5000  0.0000  0.0770 [2 per cell]
P  0.5000  0.0000  0.4815 [2 per cell]
Au  0.5000  0.0000  0.7864 [2 per cell]

Calculated values
* density: 5.1 Mg/m³

***

b:
Entry from Alexandria: a relaxed structure of P5Au (PBE-GGA).

Unit cell a=10.8143 b=3.5287 c=5.0639 alpha=90.00 beta=92.28 gamma=90.00
Space group C2/m (No. 12)
Inequivalent atoms, fractional coordinates:
P  0.0000  0.0000  0.0000 [2 per cell]
P  0.1705  0.5000  0.0245 [4 per cell]
P  0.1782  0.5000  0.4701 [4 per cell]
Au  0.0000  0.0000  0.5000 [2 per cell]

Calculated values
* density: 6.1 Mg/m³

***

From most stable to least stable, the computed energies give b, a.

***

a:
Entry from Alexandria: a relaxed structure of P5Au (PBE-GGA).

Unit cell a=4.9277 b=4.9277 c=4.6333 alpha=90.00 beta=90.00 gamma=120.00
Space group P6/mmm (No. 191)
Inequivalent atoms, fractional coordinates:
P  0.0000  0.5000  0.0000 [3 per cell]
P  0.3333  0.6667  0.5000 [2 per cell]
Au  0.0000  0.0000  0.5000 [1 per cell]

Calculated values
* density: 6.0 Mg/m³

***

b:
Entry from Alexandria: a relaxed structure of P5Au (PBE-GGA).

Unit cell a=2.5085 b=2.5085 c=15.6758 alpha=90.00 beta=90.00 gamma=90.00
Space group P4/mmm (No. 123)
Inequivalent atoms, fractional coordinates:
P  0.0000  0.0000  0.0000 [1 per cell]
P  0.0000  0.0000  0.3279 [2 per cell]
P  0.5000  0.5000  0.1704 [2 per cell]
Au  0.5000  0.5000  0.5000 [1 per cell]

Calculated values
* density: 5.9 Mg/m³

***

From most stable to least stable, the computed energies give b, a.

***

a:
Entry from Alexandria: a relaxed structure of P3Au5 (PBE-GGA).

Unit cell a=5.9515 b=7.2924 c=8.0819 alpha=81.68 beta=68.41 gamma=66.63
Space group P1 (No. 1)
Inequivalent atoms, fractional coordinates:
P  0.0000  0.0000  0.0000 [1 per cell]
P  0.0077  0.4961  0.4865 [1 per cell]
P  0.2850  0.4985  0.9271 [1 per cell]
P  0.6249  0.9994  0.0007 [1 per cell]
P  0.6363  0.4954  0.4878 [1 per cell]
P  0.9177  0.4958  0.9255 [1 per cell]
Au  0.0911  0.7216  0.2153 [1 per cell]
Au  0.0940  0.9955  0.4415 [1 per cell]
Au  0.0956  0.2172  0.7133 [1 per cell]
Au  0.3166  0.7769  0.7145 [1 per cell]
Au  0.3182  0.2740  0.2184 [1 per cell]
Au  0.5913  0.9960  0.4480 [1 per cell]
Au  0.5962  0.7196  0.2161 [1 per cell]
Au  0.5991  0.2179  0.7158 [1 per cell]
Au  0.8156  0.2741  0.2188 [1 per cell]
Au  0.8170  0.7762  0.7162 [1 per cell]

Calculated values
* density: 12.0 Mg/m³

***

b:
Entry from Alexandria: a relaxed structure of P3Au5 (PBE-GGA).

Unit cell a=8.0373 b=8.6078 c=4.0326 alpha=90.00 beta=90.00 gamma=90.00
Space group Cmmm (No. 65)
Inequivalent atoms, fractional coordinates:
P  0.0000  0.0000  0.0000 [2 per cell]
P  0.0000  0.2993  0.5000 [4 per cell]
Au  0.0000  0.5000  0.0000 [2 per cell]
Au  0.2148  0.0000  0.5000 [4 per cell]
Au  0.2500  0.2500  0.0000 [4 per cell]

Calculated values
* density: 12.8 Mg/m³

***

From most stable to least stable, the computed energies give a, b.

***

a:
Entry from Alexandria: a relaxed structure of P4Au (PBE-GGA).

Unit cell a=4.6449 b=4.6449 c=7.6724 alpha=90.00 beta=90.00 gamma=90.00
Space group I4/mmm (No. 139)
Inequivalent atoms, fractional coordinates:
P  0.0000  0.0000  0.1688 [4 per cell]
P  0.0000  0.5000  0.2500 [4 per cell]
Au  0.0000  0.0000  0.5000 [2 per cell]

Calculated values
* density: 6.4 Mg/m³

***

b:
Entry from Alexandria: a relaxed structure of P4Au (PBE-GGA).

Unit cell a=5.8634 b=5.8634 c=5.8634 alpha=90.00 beta=90.00 gamma=90.00
Space group Im-3m (No. 229)
Inequivalent atoms, fractional coordinates:
P  0.2500  0.2500  0.2500 [8 per cell]
Au  0.0000  0.0000  0.0000 [2 per cell]

Calculated values
* density: 5.3 Mg/m³

***

From most stable to least stable, the computed energies give a, b.

***

a:
Entry from Alexandria: a relaxed structure of P4Au (PBE-GGA).

Unit cell a=4.7834 b=4.7834 c=4.7834 alpha=90.00 beta=90.00 gamma=90.00
Space group Pm-3m (No. 221)
Inequivalent atoms, fractional coordinates:
P  0.0000  0.0000  0.0000 [1 per cell]
P  0.0000  0.5000  0.5000 [3 per cell]
Au  0.5000  0.5000  0.5000 [1 per cell]

Calculated values
* density: 4.9 Mg/m³

***

b:
Entry from Alexandria: a relaxed structure of P4Au (PBE-GGA).

Unit cell a=7.2651 b=7.2651 c=3.1839 alpha=90.00 beta=90.00 gamma=90.00
Space group I4/mmm (No. 139)
Inequivalent atoms, fractional coordinates:
P  0.0000  0.3136  0.0000 [8 per cell]
Au  0.0000  0.0000  0.5000 [2 per cell]

Calculated values
* density: 6.3 Mg/m³

***

From most stable to least stable, the computed energies give b, a.

***

a:
Entry from Alexandria: a relaxed structure of PPb2Au2 (PBE-GGA).

Unit cell a=3.8212 b=3.8212 c=16.9439 alpha=90.00 beta=90.00 gamma=90.00
Space group I4/mmm (No. 139)
Inequivalent atoms, fractional coordinates:
P  0.0000  0.0000  0.0000 [2 per cell]
Pb  0.0000  0.0000  0.4045 [4 per cell]
Au  0.0000  0.5000  0.2500 [4 per cell]

Calculated values
* density: 11.3 Mg/m³

***

b:
Entry from Alexandria: a relaxed structure of PPb2Au2 (PBE-GGA).

Unit cell a=5.9535 b=5.9535 c=7.3642 alpha=90.00 beta=90.00 gamma=90.00
Space group I4/mmm (No. 139)
Inequivalent atoms, fractional coordinates:
P  0.0000  0.0000  0.0000 [2 per cell]
Pb  0.0000  0.5000  0.2500 [4 per cell]
Au  0.0000  0.0000  0.3243 [4 per cell]

Calculated values
* density: 10.7 Mg/m³

***

From most stable to least stable, the computed energies give a, b.

***

a:
Entry from Alexandria: a relaxed structure of PPbAu (PBE-GGA).

Unit cell a=5.0641 b=5.0641 c=6.0675 alpha=90.00 beta=90.00 gamma=120.00
Space group P6_3/mmc (No. 194)
Inequivalent atoms, fractional coordinates:
P  0.0000  0.0000  0.0000 [2 per cell]
Pb  0.3333  0.6667  0.2500 [2 per cell]
Au  0.3333  0.6667  0.7500 [2 per cell]

Calculated values
* density: 10.7 Mg/m³

***

b:
Entry from Alexandria: a relaxed structure of PPbAu (PBE-GGA).

Unit cell a=4.2654 b=4.2654 c=4.3973 alpha=90.00 beta=90.00 gamma=120.00
Space group P-6m2 (No. 187)
Inequivalent atoms, fractional coordinates:
P  0.0000  0.0000  0.0000 [1 per cell]
Pb  0.3333  0.6667  0.5000 [1 per cell]
Au  0.6667  0.3333  0.0000 [1 per cell]

Calculated values
* density: 10.4 Mg/m³

***

From most stable to least stable, the computed energies give b, a.

***

a:
Entry from Alexandria: a relaxed structure of PPbAu (PBE-GGA).

Unit cell a=3.4897 b=3.4897 c=11.2527 alpha=90.00 beta=90.00 gamma=90.00
Space group I4mm (No. 107)
Inequivalent atoms, fractional coordinates:
P  0.0000  0.0000  0.0000 [2 per cell]
Pb  0.0000  0.0000  0.7220 [2 per cell]
Au  0.0000  0.0000  0.4348 [2 per cell]

Calculated values
* density: 10.5 Mg/m³

***

b:
Entry from Alexandria: a relaxed structure of PPbAu (PBE-GGA).

Unit cell a=4.2737 b=7.2275 c=9.0389 alpha=90.00 beta=90.00 gamma=90.00
Space group Immm (No. 71)
Inequivalent atoms, fractional coordinates:
P  0.0000  0.1493  0.0000 [4 per cell]
Pb  0.0000  0.5000  0.2227 [4 per cell]
Au  0.0000  0.1957  0.5000 [4 per cell]

Calculated values
* density: 10.4 Mg/m³

***

c:
Entry from Alexandria: a relaxed structure of PPbAu (PBE-GGA).

Unit cell a=4.2812 b=4.2812 c=8.7113 alpha=90.00 beta=90.00 gamma=120.00
Space group P6_3/mmc (No. 194)
Inequivalent atoms, fractional coordinates:
P  0.3333  0.6667  0.2500 [2 per cell]
Pb  0.0000  0.0000  0.0000 [2 per cell]
Au  0.3333  0.6667  0.7500 [2 per cell]

Calculated values
* density: 10.4 Mg/m³

***

From most stable to least stable, the computed energies give c, b, a.